## RbBiS2 (GGA-PBEsol)

Data for a geometry-optimized RbBiS2 structure.

Properties
**Raw formation energy**: -0.804 eV/atom

Cell lengths 7.994, 7.994, 7.994 Å; angles 29.84, 29.84, 29.84 degrees
Fractional coordinates of all 4 atoms:
Rb (0.000, 0.000, 0.000)
Bi (0.500, 0.500, 0.500)
S (0.234, 0.234, 0.234)
S (0.766, 0.766, 0.766)

---

## NbNiP2Cl (GGA-PBEsol)

Data for a geometry-optimized NbNiP2Cl structure.

Properties
**DOS(E_F)**: 0.87 states/eV/atom
**Raw formation energy**: 0.498 eV/atom

Cell lengths 4.329, 4.329, 4.372 Å; angles 90.00, 90.00, 90.00 degrees
Fractional coordinates of all 5 atoms:
Nb (0.000, 0.000, 0.000)
Ni (0.500, 0.500, 0.500)
P (0.000, 0.500, 0.500)
P (0.500, 0.000, 0.500)
Cl (0.500, 0.500, 0.000)

---

## Mg2Ta2Co (GGA-PBEsol)

Data for a geometry-optimized Mg2Ta2Co structure.

Properties
**DOS(E_F)**: 1.02 states/eV/atom
**Formation enthalpy at 0 K**: 0.95 eV per atom

Cell lengths 8.010, 8.010, 8.010 Å; angles 154.00, 154.00, 37.10 degrees
Fractional coordinates of all 5 atoms:
Mg (0.088, 0.088, 0.000)
Mg (0.912, 0.912, 0.000)
Ta (0.250, 0.750, 0.500)
Ta (0.750, 0.250, 0.500)
Co (0.500, 0.500, 0.000)

---

## GePRu2Rh (GGA-PBEsol)

Data for a geometry-optimized GePRu2Rh structure.

Properties
**DOS(E_F)**: 1.30 states/eV/atom
**Formation enthalpy at 0 K**: 1.43 eV per atom

Cell lengths 4.677, 4.677, 4.265 Å; angles 90.00, 90.00, 90.00 degrees
Fractional coordinates of all 5 atoms:
Ge (0.000, 0.000, 0.000)
P (0.500, 0.500, 0.000)
Ru (0.000, 0.500, 0.500)
Ru (0.500, 0.000, 0.500)
Rh (0.500, 0.500, 0.500)

---

## YMg2Cu (GGA-PBEsol)

Data for a geometry-optimized YMg2Cu structure.

Properties
**DOS(E_F)**: 0.71 states/eV/atom
**Formation enthalpy at 0 K**: -0.08 eV per atom

Cell lengths 4.839, 4.839, 4.839 Å; angles 60.00, 60.00, 60.00 degrees
Fractional coordinates of all 4 atoms:
Y (0.000, 0.000, 0.000)
Mg (0.500, 0.500, 0.500)
Mg (0.750, 0.750, 0.750)
Cu (0.250, 0.250, 0.250)

---

## LiCeMg30O32 (GGA-PBEsol)

Data for a geometry-optimized LiCeMg30O32 structure.

Properties
**DOS(E_F)**: 0.06 states/eV/atom
**Raw formation energy**: -2.705 eV/atom

Cell lengths 8.509, 8.509, 8.507 Å; angles 90.00, 90.00, 90.00 degrees
Fractional coordinates of all 64 atoms:
Li (0.000, 0.000, 0.000)
Ce (0.500, 0.500, 0.000)
Mg (0.000, 0.000, 0.500)
Mg (0.000, 0.245, 0.248)
Mg (0.000, 0.245, 0.752)
Mg (0.000, 0.500, 0.000)
Mg (0.000, 0.500, 0.500)
Mg (0.000, 0.755, 0.248)
Mg (0.000, 0.755, 0.752)
Mg (0.238, 0.238, 0.000)
Mg (0.238, 0.762, 0.000)
Mg (0.241, 0.500, 0.257)
Mg (0.241, 0.500, 0.743)
Mg (0.245, 0.000, 0.248)
Mg (0.245, 0.000, 0.752)
Mg (0.248, 0.248, 0.500)
Mg (0.248, 0.752, 0.500)
Mg (0.500, 0.000, 0.000)
Mg (0.500, 0.000, 0.500)
Mg (0.500, 0.241, 0.257)
Mg (0.500, 0.241, 0.743)
Mg (0.500, 0.500, 0.500)
Mg (0.500, 0.759, 0.257)
Mg (0.500, 0.759, 0.743)
Mg (0.752, 0.248, 0.500)
Mg (0.752, 0.752, 0.500)
Mg (0.755, 0.000, 0.248)
Mg (0.755, 0.000, 0.752)
Mg (0.759, 0.500, 0.257)
Mg (0.759, 0.500, 0.743)
Mg (0.762, 0.238, 0.000)
Mg (0.762, 0.762, 0.000)
O (0.000, 0.000, 0.257)
O (0.000, 0.000, 0.743)
O (0.000, 0.251, 0.500)
O (0.000, 0.254, 0.000)
O (0.000, 0.500, 0.253)
O (0.000, 0.500, 0.747)
O (0.000, 0.746, 0.000)
O (0.000, 0.749, 0.500)
O (0.235, 0.500, 0.000)
O (0.248, 0.500, 0.500)
O (0.251, 0.000, 0.500)
O (0.251, 0.251, 0.250)
O (0.251, 0.251, 0.750)
O (0.251, 0.749, 0.250)
O (0.251, 0.749, 0.750)
O (0.254, 0.000, 0.000)
O (0.500, 0.000, 0.253)
O (0.500, 0.000, 0.747)
O (0.500, 0.235, 0.000)
O (0.500, 0.248, 0.500)
O (0.500, 0.500, 0.266)
O (0.500, 0.500, 0.734)
O (0.500, 0.752, 0.500)
O (0.500, 0.765, 0.000)
O (0.746, 0.000, 0.000)
O (0.749, 0.000, 0.500)
O (0.749, 0.251, 0.250)
O (0.749, 0.251, 0.750)
O (0.749, 0.749, 0.250)
O (0.749, 0.749, 0.750)
O (0.752, 0.500, 0.500)
O (0.765, 0.500, 0.000)

---

## CuTeSeI (GGA-PBEsol)

Data for a geometry-optimized CuTeSeI structure.

Properties
**Raw formation energy**: -0.116 eV/atom

Cell lengths 8.380, 4.687, 12.757 Å; angles 90.00, 115.98, 90.00 degrees
Fractional coordinates of all 16 atoms:
Cu (0.200, 0.109, 0.251)
Cu (0.200, 0.391, 0.751)
Cu (0.800, 0.609, 0.249)
Cu (0.800, 0.891, 0.749)
Te (0.285, 0.008, 0.645)
Te (0.285, 0.492, 0.145)
Te (0.715, 0.508, 0.855)
Te (0.715, 0.992, 0.355)
Se (0.426, 0.734, 0.846)
Se (0.426, 0.766, 0.346)
Se (0.574, 0.234, 0.654)
Se (0.574, 0.266, 0.154)
I (0.096, 0.149, 0.892)
I (0.096, 0.351, 0.392)
I (0.904, 0.649, 0.608)
I (0.904, 0.851, 0.108)

---

## KCa2TiAg (GGA-PBEsol)

Data for a geometry-optimized KCa2TiAg structure.

Properties
**DOS(E_F)**: 0.75 states/eV/atom
**Formation enthalpy at 0 K**: 1.05 eV per atom

Cell lengths 5.805, 5.805, 5.922 Å; angles 90.00, 90.00, 90.00 degrees
Fractional coordinates of all 5 atoms:
K (0.000, 0.000, 0.000)
Ca (0.000, 0.500, 0.500)
Ca (0.500, 0.000, 0.500)
Ti (0.000, 0.000, 0.500)
Ag (0.500, 0.500, 0.000)

---

## TaAl4W (GGA-PBEsol)

Data for a geometry-optimized TaAl4W structure.

Properties
**DOS(E_F)**: 0.87 states/eV/atom
**Formation enthalpy at 0 K**: 0.02 eV per atom

Cell lengths 5.024, 5.024, 5.024 Å; angles 60.00, 60.00, 60.00 degrees
Fractional coordinates of all 6 atoms:
Ta (0.000, 0.000, 0.000)
Al (0.375, 0.375, 0.375)
Al (0.375, 0.375, 0.875)
Al (0.375, 0.875, 0.375)
Al (0.875, 0.375, 0.375)
W (0.750, 0.750, 0.750)

---

## TcMoAs2Br (GGA-PBEsol)

Data for a geometry-optimized TcMoAs2Br structure.

Properties
**DOS(E_F)**: 0.78 states/eV/atom
**Raw formation energy**: 1.128 eV/atom

Cell lengths 4.658, 4.658, 5.255 Å; angles 90.00, 90.00, 90.00 degrees
Fractional coordinates of all 5 atoms:
Tc (0.000, 0.000, 0.000)
Mo (0.500, 0.500, 0.500)
As (0.000, 0.500, 0.000)
As (0.500, 0.000, 0.000)
Br (0.000, 0.000, 0.500)

---

## FeSiPd2Ru (GGA-PBEsol)

Data for a geometry-optimized FeSiPd2Ru structure.

Properties
**DOS(E_F)**: 1.06 states/eV/atom
**Raw formation energy**: 1.137 eV/atom

Cell lengths 4.499, 4.499, 4.202 Å; angles 90.00, 90.00, 90.00 degrees
Fractional coordinates of all 5 atoms:
Fe (0.000, 0.000, 0.000)
Si (0.500, 0.500, 0.500)
Pd (0.000, 0.500, 0.000)
Pd (0.500, 0.000, 0.000)
Ru (0.000, 0.000, 0.500)

---

## Li4NiOF4 (GGA-PBEsol)

Data for a geometry-optimized Li4NiOF4 structure.

Properties
**DOS(E_F)**: 0.22 states/eV/atom
**Raw formation energy**: -2.433 eV/atom

Cell lengths 10.540, 10.540, 10.540 Å; angles 164.64, 164.64, 21.79 degrees
Fractional coordinates of all 10 atoms:
Li (0.102, 0.102, 0.000)
Li (0.298, 0.298, 0.000)
Li (0.702, 0.702, 0.000)
Li (0.898, 0.898, 0.000)
Ni (0.500, 0.500, 0.000)
O (0.000, 0.000, 0.000)
F (0.201, 0.201, 0.000)
F (0.394, 0.394, 0.000)
F (0.606, 0.606, 0.000)
F (0.799, 0.799, 0.000)

---

## LaMgPd3 (GGA-PBEsol)

Data for a geometry-optimized LaMgPd3 structure.

Properties
**DOS(E_F)**: 0.74 states/eV/atom
**Formation enthalpy at 0 K**: -0.22 eV per atom

Cell lengths 4.692, 4.692, 4.692 Å; angles 90.00, 90.00, 90.00 degrees
Fractional coordinates of all 5 atoms:
La (0.000, 0.000, 0.000)
Mg (0.500, 0.500, 0.500)
Pd (0.000, 0.500, 0.500)
Pd (0.500, 0.000, 0.500)
Pd (0.500, 0.500, 0.000)

---

## Nb3TeSe (GGA-PBEsol)

Data for a geometry-optimized Nb3TeSe structure.

Properties
**DOS(E_F)**: 1.05 states/eV/atom
**Raw formation energy**: 0.584 eV/atom

Cell lengths 4.747, 4.747, 4.747 Å; angles 90.00, 90.00, 90.00 degrees
Fractional coordinates of all 5 atoms:
Nb (0.000, 0.000, 0.500)
Nb (0.000, 0.500, 0.000)
Nb (0.500, 0.000, 0.000)
Te (0.500, 0.500, 0.500)
Se (0.000, 0.000, 0.000)

---

## ZrTcPt4 (GGA-PBEsol)

Data for a geometry-optimized ZrTcPt4 structure.

Properties
**DOS(E_F)**: 1.08 states/eV/atom
**Formation enthalpy at 0 K**: -0.26 eV per atom

Cell lengths 5.169, 5.169, 5.169 Å; angles 60.00, 60.00, 60.00 degrees
Fractional coordinates of all 6 atoms:
Zr (0.000, 0.000, 0.000)
Tc (0.250, 0.250, 0.250)
Pt (0.127, 0.624, 0.624)
Pt (0.624, 0.127, 0.624)
Pt (0.624, 0.624, 0.127)
Pt (0.624, 0.624, 0.624)

---

## Fe23B6 (GGA-PBEsol)

Data for a geometry-optimized Fe23B6 structure.

Properties
**DOS(E_F)**: 1.11 states/eV/atom
**Formation enthalpy at 0 K**: -0.18 eV per atom

Cell lengths 7.357, 7.357, 7.357 Å; angles 60.00, 60.00, 60.00 degrees
Fractional coordinates of all 29 atoms:
Fe (0.000, 0.000, 0.000)
Fe (0.000, 0.000, 0.343)
Fe (0.000, 0.000, 0.657)
Fe (0.000, 0.343, 0.000)
Fe (0.000, 0.343, 0.657)
Fe (0.000, 0.657, 0.000)
Fe (0.000, 0.657, 0.343)
Fe (0.142, 0.619, 0.619)
Fe (0.250, 0.250, 0.250)
Fe (0.343, 0.000, 0.000)
Fe (0.343, 0.000, 0.657)
Fe (0.343, 0.657, 0.000)
Fe (0.381, 0.381, 0.381)
Fe (0.381, 0.381, 0.858)
Fe (0.381, 0.858, 0.381)
Fe (0.619, 0.142, 0.619)
Fe (0.619, 0.619, 0.142)
Fe (0.619, 0.619, 0.619)
Fe (0.657, 0.000, 0.000)
Fe (0.657, 0.000, 0.343)
Fe (0.657, 0.343, 0.000)
Fe (0.750, 0.750, 0.750)
Fe (0.858, 0.381, 0.381)
B (0.276, 0.276, 0.724)
B (0.276, 0.724, 0.276)
B (0.276, 0.724, 0.724)
B (0.724, 0.276, 0.276)
B (0.724, 0.276, 0.724)
B (0.724, 0.724, 0.276)

---

## Ba8Si6Sn (GGA-PBEsol)

Data for a geometry-optimized Ba8Si6Sn structure.

Properties
**DOS(E_F)**: 0.03 states/eV/atom
**Raw formation energy**: -0.488 eV/atom

Cell lengths 8.632, 8.712, 26.963 Å; angles 90.00, 90.00, 90.00 degrees
Fractional coordinates of all 60 atoms:
Ba (0.051, 0.181, 0.086)
Ba (0.051, 0.819, 0.586)
Ba (0.175, 0.131, 0.675)
Ba (0.175, 0.869, 0.175)
Ba (0.183, 0.489, 0.313)
Ba (0.183, 0.511, 0.813)
Ba (0.215, 0.491, 0.478)
Ba (0.215, 0.509, 0.978)
Ba (0.285, 0.009, 0.978)
Ba (0.285, 0.991, 0.478)
Ba (0.317, 0.011, 0.813)
Ba (0.317, 0.989, 0.313)
Ba (0.325, 0.369, 0.175)
Ba (0.325, 0.631, 0.675)
Ba (0.449, 0.319, 0.586)
Ba (0.449, 0.681, 0.086)
Ba (0.551, 0.319, 0.914)
Ba (0.551, 0.681, 0.414)
Ba (0.675, 0.369, 0.325)
Ba (0.675, 0.631, 0.825)
Ba (0.683, 0.011, 0.687)
Ba (0.683, 0.989, 0.187)
Ba (0.715, 0.009, 0.522)
Ba (0.715, 0.991, 0.022)
Ba (0.785, 0.491, 0.022)
Ba (0.785, 0.509, 0.522)
Ba (0.817, 0.489, 0.187)
Ba (0.817, 0.511, 0.687)
Ba (0.825, 0.131, 0.825)
Ba (0.825, 0.869, 0.325)
Ba (0.949, 0.181, 0.414)
Ba (0.949, 0.819, 0.914)
Si (0.061, 0.207, 0.546)
Si (0.061, 0.793, 0.046)
Si (0.069, 0.426, 0.600)
Si (0.069, 0.574, 0.100)
Si (0.135, 0.235, 0.892)
Si (0.135, 0.765, 0.392)
Si (0.365, 0.265, 0.392)
Si (0.365, 0.735, 0.892)
Si (0.431, 0.074, 0.100)
Si (0.431, 0.926, 0.600)
Si (0.439, 0.293, 0.046)
Si (0.439, 0.707, 0.546)
Si (0.561, 0.293, 0.454)
Si (0.561, 0.707, 0.954)
Si (0.569, 0.074, 0.400)
Si (0.569, 0.926, 0.900)
Si (0.635, 0.265, 0.108)
Si (0.635, 0.735, 0.608)
Si (0.865, 0.235, 0.608)
Si (0.865, 0.765, 0.108)
Si (0.931, 0.426, 0.900)
Si (0.931, 0.574, 0.400)
Si (0.939, 0.207, 0.954)
Si (0.939, 0.793, 0.454)
Sn (0.000, 0.170, 0.250)
Sn (0.000, 0.830, 0.750)
Sn (0.500, 0.330, 0.750)
Sn (0.500, 0.670, 0.250)

---

## HfBi2N (GGA-PBEsol)

Data for a geometry-optimized HfBi2N structure.

Properties
**DOS(E_F)**: 0.71 states/eV/atom
**Raw formation energy**: 0.713 eV/atom

Cell lengths 6.096, 6.096, 6.096 Å; angles 109.84, 109.84, 108.74 degrees
Fractional coordinates of all 8 atoms:
Hf (0.000, 0.000, 0.000)
Hf (0.750, 0.250, 0.500)
Bi (0.201, 0.625, 0.076)
Bi (0.375, 0.451, 0.576)
Bi (0.549, 0.125, 0.924)
Bi (0.875, 0.799, 0.424)
N (0.250, 0.750, 0.500)
N (0.500, 0.500, 0.000)

---

## Li3Hg (GGA-PBEsol)

Data for a geometry-optimized Li3Hg structure.

Properties
**DOS(E_F)**: 0.34 states/eV/atom
**Formation enthalpy at 0 K**: -0.23 eV per atom
**Energy above the lowest structure with this stoichiometry**: 0.293 eV per formula unit

Cell lengths 5.261, 5.261, 5.261 Å; angles 116.42, 116.42, 116.42 degrees
Fractional coordinates of all 4 atoms:
Li (0.000, 0.500, 0.500)
Li (0.500, 0.000, 0.500)
Li (0.500, 0.500, 0.000)
Hg (0.000, 0.000, 0.000)

---

## Mg2ScHg (GGA-PBEsol)

Data for a geometry-optimized Mg2ScHg structure.

Properties
**DOS(E_F)**: 0.62 states/eV/atom
**Formation enthalpy at 0 K**: -0.28 eV per atom

Cell lengths 3.942, 4.525, 4.659 Å; angles 90.00, 90.00, 90.00 degrees
Fractional coordinates of all 4 atoms:
Mg (0.000, 0.000, 0.000)
Mg (0.500, 0.500, 0.000)
Sc (0.000, 0.500, 0.500)
Hg (0.500, 0.000, 0.500)

---

Number 1: magnetic moment 0.00 μB per cell. Number 2: magnetic moment 1.18 μB per cell. Number 3: magnetic moment 1.59 μB per cell. Number 4: magnetic moment 0.00 μB per cell. Number 5: magnetic moment 0.00 μB per cell. Number 6: magnetic moment 0.91 μB per cell. Number 7: magnetic moment 0.00 μB per cell. Number 8: magnetic moment 4.58 μB per cell. Number 9: magnetic moment 0.00 μB per cell. Number 10: magnetic moment 4.40 μB per cell. Number 11: magnetic moment 2.00 μB per cell. Number 12: magnetic moment 1.38 μB per cell. Number 13: magnetic moment 0.00 μB per cell. Number 14: magnetic moment 0.00 μB per cell. Number 15: magnetic moment 1.13 μB per cell. Number 16: magnetic moment 44.47 μB per cell. Number 17: magnetic moment 0.00 μB per cell. Number 18: magnetic moment 0.00 μB per cell. Number 19: magnetic moment 0.00 μB per cell. Number 20: magnetic moment 0.00 μB per cell.